Entry 1:
DFT (PBE-GGA) results for crystalline Nd8Al2Pb at its relaxed geometry.

Structure (extended XYZ):
```
11
Lattice="5.029 0.000 0.000 0.000 8.160 0.179 -2.515 -3.283 8.141" Properties=species:S:1:pos:R:3 pbc="T T T"
Nd 0.000 -1.603 5.278
Nd 2.515 3.985 5.624
Nd 0.000 0.891 2.696
Nd 0.000 5.678 0.925
Nd 2.515 3.041 1.775
Nd 2.515 -0.801 7.395
Nd 0.000 1.836 6.545
Nd 2.515 6.480 3.042
Al 0.000 4.006 3.633
Al 2.515 0.871 4.687
Pb 2.515 0.000 0.000
```

Properties
raw total energy = -4.71 eV per atom


Entry 2:
DFT (PBE-GGA) results for crystalline ScCr2Hg at its relaxed geometry.

Structure (extended XYZ):
```
4
Lattice="-0.934 -0.062 -8.809 -3.425 -1.566 -8.018 -3.427 1.448 -8.039" Properties=species:S:1:pos:R:3 pbc="T T T"
Sc -5.762 -0.133 -18.400
Hg -3.946 -0.091 -12.603
Cr -7.693 -0.178 -24.567
Cr -2.065 -0.048 -6.595
```

Properties
raw total energy = -6.13 eV per atom


Entry 3:
DFT (PBE-GGA) results for crystalline CrRu2Se at its relaxed geometry.

Structure (extended XYZ):
```
4
Lattice="-1.905 1.153 -1.702 -0.801 -0.595 2.619 2.448 7.752 2.510" Properties=species:S:1:pos:R:3 pbc="T T T"
Ru 2.419 7.659 2.480
Ru -0.744 2.207 1.083
Cr 0.487 6.105 2.344
Se 1.253 3.966 1.284
```

Properties
formation energy from raw total energies = 608 meV per atom


Number 1: volume 337.1 Å³ per cell. Number 2: volume 68.4 Å³ per cell. Number 3: volume 59.3 Å³ per cell.